Record 1
TaFeCu4 after structural relaxation. Source: Alexandria via LeMat-Bulk, functional GGA-PBE.

Cell: 4.7809 4.7809 4.7809 Å, 60.00 60.00 60.00°
Last column: nearest neighbours and their distance in Å.
Atoms (fractional coordinates):
Ta: 0.0000 0.0000 0.0000  12 Cu 2.80, 4 Fe 2.93
Fe: 0.7500 0.7500 0.7500  12 Cu 2.80, 4 Ta 2.93
Cu: 0.3755 0.3755 0.3755  6 Cu 2.38-2.40
Cu: 0.3755 0.3755 0.8736  6 Cu 2.38-2.40
Cu: 0.3755 0.8736 0.3755  6 Cu 2.38-2.40
Cu: 0.8736 0.3755 0.3755  6 Cu 2.38-2.40

energy of formation from the pure elements = 0.135 eV per atom
final energy = -5.982 eV per atom
DOS at the Fermi energy = 6.27 states/eV/cell


Record 2
Y2Sc2Se after structural relaxation. Source: Alexandria via LeMat-Bulk, functional GGA-PBE.

Cell: 9.2972 9.2972 9.2972 Å, 155.11 155.11 35.49°
Last column: nearest neighbours and their distance in Å.
Atoms (fractional coordinates):
Y: 0.2500 0.7500 0.5000  4 Y 2.83
Y: 0.7500 0.2500 0.5000  4 Y 2.83
Sc: 0.0879 0.0879 0.0000  1 Sc 3.11, 4 Se 3.23
Sc: 0.9121 0.9121 0.0000  1 Sc 3.11, 4 Se 3.23
Se: 0.5000 0.5000 0.0000  8 Sc 3.23

final energy = -5.553 eV per atom
DOS at the Fermi energy = 6.99 states/eV/cell


Record 3
Pm5Y2Er2 after structural relaxation. Source: Alexandria via LeMat-Bulk, functional GGA-PBE.

Cell: 3.6386 7.5950 11.5561 Å, 84.94 89.98 76.15°
Last column: nearest neighbours and their distance in Å.
Atoms (fractional coordinates):
Pm: 0.0000 0.0000 0.0000  6 Pm 3.38-3.64, 4 Er 3.48
Pm: 0.2175 0.5678 0.6103  6 Pm 3.35-3.64, 1 Er 3.43, 3 Y 3.60-3.61
Pm: 0.3887 0.2227 0.1888  6 Pm 3.38-3.64, 3 Er 3.49-3.51, 2 Y 3.59
Pm: 0.6113 0.7773 0.8112  6 Pm 3.38-3.64, 3 Er 3.49-3.51, 2 Y 3.59
Pm: 0.7825 0.4322 0.3897  6 Pm 3.35-3.64, 1 Er 3.43, 3 Y 3.60-3.61
Y: 0.0730 0.8530 0.3388  6 Pm 3.59-3.97, 2 Y 3.64, 2 Er 3.78-3.79
Y: 0.9270 0.1470 0.6612  6 Pm 3.59-3.97, 2 Y 3.64, 2 Er 3.78-3.79
Er: 0.3087 0.3819 0.8930  6 Pm 3.43-3.51, 4 Er 3.64, 2 Y 3.78-3.79
Er: 0.6913 0.6181 0.1070  6 Pm 3.43-3.51, 4 Er 3.64, 2 Y 3.78-3.79

ΔE to the lowest computed polymorph = 0.0 kJ per mole of atoms
energy of formation from the pure elements = 0.155 eV per atom
final energy = -4.935 eV per atom
DOS at the Fermi energy = 11.39 states/eV/cell


Record 4
Ir3Os after structural relaxation. Source: Alexandria via LeMat-Bulk, functional GGA-PBE.

Cell: 4.7447 4.7447 2.7309 Å, 90.00 90.00 109.87°
Last column: nearest neighbours and their distance in Å.
Atoms (fractional coordinates):
Ir: 0.0000 0.0000 0.0000  2 Os 2.73, 10 Ir 2.73-2.74
Ir: 0.0000 0.5000 0.5000  8 Ir 2.73-2.74, 4 Os 2.74
Ir: 0.5000 0.0000 0.5000  8 Ir 2.73-2.74, 4 Os 2.74
Os: 0.5000 0.5000 0.0000  10 Ir 2.73-2.74, 2 Os 2.73

energy of formation from the pure elements = 0.028 eV per atom
final energy = -9.425 eV per atom
DOS at the Fermi energy = 3.81 states/eV/cell


Record 5
Ti8TlS2 after structural relaxation. Source: Alexandria via LeMat-Bulk, functional GGA-PBE.

Cell: 8.0127 8.0127 8.0127 Å, 144.69 141.34 53.35°
Last column: nearest neighbours and their distance in Å.
Atoms (fractional coordinates):
Ti: 0.1029 0.1029 0.0000  1 S 2.34
Ti: 0.1529 0.4058 0.7471  1 S 2.41, 3 Ti 2.62-2.70
Ti: 0.2711 0.7711 0.5000  4 S 2.43-2.71
Ti: 0.3412 0.5942 0.7471  1 S 2.41, 3 Ti 2.62-2.70
Ti: 0.6588 0.4058 0.2529  1 S 2.41, 3 Ti 2.62-2.70
Ti: 0.7289 0.2289 0.5000  4 S 2.43-2.71
Ti: 0.8471 0.5942 0.2529  1 S 2.41, 3 Ti 2.62-2.70
Ti: 0.8971 0.8971 0.0000  1 S 2.34
Tl: 0.5000 0.0000 0.5000  14 Ti 3.03-3.28
S: 0.2661 0.2661 0.0000  5 Ti 2.34-2.43
S: 0.7339 0.7339 0.0000  5 Ti 2.34-2.43

final energy = -7.118 eV per atom
DOS at the Fermi energy = 9.60 states/eV/cell


Record 6
RbLi2TiRu after structural relaxation. Source: Alexandria via LeMat-Bulk, functional GGA-PBE.

Cell: 5.7002 5.7002 4.4114 Å, 90.00 90.00 90.00°
Last column: nearest neighbours and their distance in Å.
Atoms (fractional coordinates):
Rb: 0.0000 0.0000 0.0000  8 Li 3.60, 4 Ru 4.03
Li: 0.0000 0.5000 0.5000  2 Ti 2.85
Li: 0.5000 0.0000 0.5000  2 Ti 2.85
Ti: 0.5000 0.5000 0.5000  2 Ru 2.21
Ru: 0.5000 0.5000 0.0000  2 Ti 2.21

energy of formation from the pure elements = 0.691 eV per atom
final energy = -3.703 eV per atom
DOS at the Fermi energy = 4.78 states/eV/cell